First-principles (GGA+U) data for a relaxed CoNiRuO6 crystal, as listed in Alexandria.

Values from the calculation:
DOS(E_F) = 0.5680 states/eV per atom
total energy = -5.89 eV/atom
total magnetic moment = 3.477 μB/f.u.
crystal system = trigonal

a b c (Å): 4.9675 4.9675 8.5180
angles (deg): 90.00 90.00 120.00
Space group P-31c (No. 163)
Symmetry-distinct sites (fractional):
Co  0.0000  0.0000  0.0000 [2 per cell]
Ni  0.3333  0.6667  0.2500 [2 per cell]
Ru  0.3333  0.6667  0.7500 [2 per cell]
O  0.0109  0.3465  0.6249 [12 per cell]